Computed, not measured: crystalline BiTeP2S at its relaxed geometry at the GGA-PBE level of DFT.

Output
E above lowest polymorph, eV/f.u.: 0.00
Formation energy from raw total energies, eV/f.u.: 4.4

The structure in POSCAR format:
```
BiTeP2S
1.0
5.092 0.000 0.000
0.000 5.092 0.000
0.000 0.000 4.970
Te P Bi S
1 2 1 1
direct
0.000 0.000 0.000 Te
0.000 0.500 0.000 P
0.500 0.000 0.000 P
0.500 0.500 0.500 Bi
0.000 0.000 0.500 S
```